The following is a DFT calculation (PBE) of an optimized crystal structure of CsAg2I2Cl.

```
CsAg2I2Cl
1.0
9.1567 0.0000 0.0000
0.0000 5.9286 0.0000
-2.1773 0.0000 8.9387
Cs Ag I Cl
2 4 4 2
Cartesian
1.4816 1.4821 2.4564
5.4979 4.4464 6.4823
1.1835 5.9270 7.4015
1.1835 2.9659 7.4015
5.7960 0.0016 1.5372
5.7960 2.9627 1.5372
-1.1892 1.4821 7.5575
1.8749 4.4464 5.1220
5.1046 1.4821 3.8167
8.1687 4.4464 1.3812
3.5420 4.4464 0.8226
3.4374 1.4821 8.1162
```

Total magnetic moment ... 0.0 Bohr magnetons per cell
Crystal system ... monoclinic
Formation energy (no corrections) ... -0.77 eV per atom
Energy ... -16.15 eV/f.u.
Space group ... P2_1/m